No. 1
Here is LaZrGe2Pb after structural relaxation from the Alexandria database. Energies are from PBE-GGA.

a = 5.1993 Å, b = 5.5759 Å, c = 5.1993 Å
α = 90.00°, β = 90.00°, γ = 90.00°
With the nearest neighbours (Å) after each atom.
Sites, in units of the cell vectors:
Ge (0.5000, 0.0000, 0.0000)  2 Zr 2.60
Ge (0.0000, 0.0000, 0.5000)  2 Zr 2.60
La (0.5000, 0.5000, 0.5000)  4 Pb 3.68, 8 Ge 3.81
Pb (0.0000, 0.5000, 0.0000)  2 Zr 2.79
Zr (0.0000, 0.0000, 0.0000)  4 Ge 2.60, 2 Pb 2.79

Properties
- DOS at the Fermi energy (states/eV/atom) = 0.86
- total energy (eV per atom) = -5.375
- SG = P4/mmm (123)
- calculated volume (Å³/cell) = 150.7
- crystal system = tetragonal
- energy of formation (meV per atom) = -91

No. 2
Here is Pm4NdSmTm2 after structural relaxation from the Alexandria database. Energies are from PBE-GGA.

a = 5.1281 Å, b = 5.1070 Å, c = 11.3700 Å
α = 63.24°, β = 90.00°, γ = 90.00°
With the nearest neighbours (Å) after each atom.
Sites, in units of the cell vectors:
Nd (0.0000, 0.5000, 0.5000)  8 Pm 3.61, 4 Tm 3.62
Sm (0.5000, 0.5000, 0.0000)  8 Pm 3.60, 4 Tm 3.62
Tm (0.0000, 0.0000, 0.0000)  8 Pm 3.59-3.61, 4 Sm 3.62
Tm (0.5000, 0.0000, 0.5000)  8 Pm 3.60-3.62, 4 Nd 3.62
Pm (0.5000, 0.7501, 0.2496)  2 Sm 3.60, 4 Tm 3.60-3.61, 2 Nd 3.61, 4 Pm 3.62
Pm (0.0000, 0.7486, 0.7514)  4 Tm 3.59-3.62, 2 Sm 3.60, 2 Nd 3.61, 4 Pm 3.62
Pm (0.0000, 0.2514, 0.2486)  4 Tm 3.59-3.62, 2 Sm 3.60, 2 Nd 3.61, 4 Pm 3.62
Pm (0.5000, 0.2499, 0.7503)  2 Sm 3.60, 4 Tm 3.60-3.61, 2 Nd 3.61, 4 Pm 3.62

Properties
- DOS at the Fermi energy (states/eV/atom) = 1.41
- total energy (eV per atom) = -4.663
- SG = P2/m (10)
- calculated volume (Å³/cell) = 265.9
- crystal system = monoclinic
- energy of formation (meV per atom) = 16

No. 3
Here is Li2DyCd after structural relaxation from the Alexandria database. Energies are from PBE-GGA.

a = 3.2991 Å, b = 3.2991 Å, c = 10.1819 Å
α = 80.68°, β = 80.68°, γ = 60.00°
With the nearest neighbours (Å) after each atom.
Sites, in units of the cell vectors:
Li (0.2590, 0.2590, 0.2230)  3 Cd 2.93
Li (0.0745, 0.0745, 0.7765)  3 Cd 2.94
Cd (0.6667, 0.6667, 0.9998)  6 Li 2.93-2.94
Dy (0.4998, 0.4998, 0.5007)  6 Dy 3.30, 6 Li 3.35-3.37

Properties
- DOS at the Fermi energy (states/eV/atom) = 0.57
- energy above the lowest structure with this stoichiometry (meV/atom) = 98
- total energy (eV per atom) = -2.311
- SG = R3m (160)
- calculated volume (Å³/cell) = 94.3
- crystal system = trigonal
- energy of formation (meV per atom) = 25

No. 4
Here is TaMoAu after structural relaxation from the Alexandria database. Energies are from PBE-GGA.

a = 4.7396 Å, b = 4.7396 Å, c = 2.6639 Å
α = 90.00°, β = 90.00°, γ = 120.00°
With the nearest neighbours (Å) after each atom.
Sites, in units of the cell vectors:
Au (0.0000, 0.0000, 0.9202)  2 Au 2.66, 3 Ta 2.79, 3 Mo 2.97
Ta (0.3333, 0.6667, 0.7236)  2 Ta 2.66, 3 Au 2.79, 3 Mo 2.91
Mo (0.6667, 0.3333, 0.3562)  2 Mo 2.66, 3 Ta 2.91, 3 Au 2.97

Properties
- DOS at the Fermi energy (states/eV/atom) = 0.75
- energy above the lowest structure with this stoichiometry (meV/atom) = 258
- total energy (eV per atom) = -8.456
- SG = P3m1 (156)
- calculated volume (Å³/cell) = 51.8
- crystal system = trigonal
- energy of formation (meV per atom) = 198

No. 5
Here is DyHoAlTc after structural relaxation from the Alexandria database. Energies are from PBE-GGA.

a = 4.9620 Å, b = 4.9620 Å, c = 4.9620 Å
α = 60.00°, β = 60.00°, γ = 60.00°
With the nearest neighbours (Å) after each atom.
Sites, in units of the cell vectors:
Tc (0.2500, 0.2500, 0.2500)  4 Dy 3.04, 4 Ho 3.04
Al (0.7500, 0.7500, 0.7500)  4 Dy 3.04, 4 Ho 3.04
Dy (0.5000, 0.5000, 0.5000)  4 Al 3.04, 4 Tc 3.04
Ho (0.0000, 0.0000, 0.0000)  4 Tc 3.04, 4 Al 3.04

Properties
- DOS at the Fermi energy (states/eV/atom) = 0.90
- total energy (eV per atom) = -5.986
- SG = F-43m (216)
- calculated volume (Å³/cell) = 86.4
- crystal system = cubic
- energy of formation (meV per atom) = -163

No. 6
Here is LiVP2Cl after structural relaxation from the Alexandria database. Energies are from PBE-GGA.

a = 4.4485 Å, b = 4.4485 Å, c = 5.3190 Å
α = 90.00°, β = 90.00°, γ = 90.00°
With the nearest neighbours (Å) after each atom.
Sites, in units of the cell vectors:
P (0.0000, 0.5000, 0.0000)  2 V 2.22
P (0.5000, 0.0000, 0.0000)  2 V 2.22
Cl (0.0000, 0.0000, 0.5000)  2 V 2.66
Li (0.5000, 0.5000, 0.5000)  4 Cl 3.15, 8 P 3.47
V (0.0000, 0.0000, 0.0000)  4 P 2.22

Properties
- DOS at the Fermi energy (states/eV/atom) = 0.44
- energy above the lowest structure with this stoichiometry (meV/atom) = 0
- total energy (eV per atom) = -5.001
- SG = P4/mmm (123)
- calculated volume (Å³/cell) = 105.3
- crystal system = tetragonal
- E_form (uncorrected) (eV/atom) = -0.2610

What did the second record say?
Here is Pm4NdSmTm2 after structural relaxation from the Alexandria database. Energies are from PBE-GGA.

a = 5.1281 Å, b = 5.1070 Å, c = 11.3700 Å
α = 63.24°, β = 90.00°, γ = 90.00°
With the nearest neighbours (Å) after each atom.
Sites, in units of the cell vectors:
Nd (0.0000, 0.5000, 0.5000)  8 Pm 3.61, 4 Tm 3.62
Sm (0.5000, 0.5000, 0.0000)  8 Pm 3.60, 4 Tm 3.62
Tm (0.0000, 0.0000, 0.0000)  8 Pm 3.59-3.61, 4 Sm 3.62
Tm (0.5000, 0.0000, 0.5000)  8 Pm 3.60-3.62, 4 Nd 3.62
Pm (0.5000, 0.7501, 0.2496)  2 Sm 3.60, 4 Tm 3.60-3.61, 2 Nd 3.61, 4 Pm 3.62
Pm (0.0000, 0.7486, 0.7514)  4 Tm 3.59-3.62, 2 Sm 3.60, 2 Nd 3.61, 4 Pm 3.62
Pm (0.0000, 0.2514, 0.2486)  4 Tm 3.59-3.62, 2 Sm 3.60, 2 Nd 3.61, 4 Pm 3.62
Pm (0.5000, 0.2499, 0.7503)  2 Sm 3.60, 4 Tm 3.60-3.61, 2 Nd 3.61, 4 Pm 3.62

Properties
- DOS at the Fermi energy (states/eV/atom) = 1.41
- total energy (eV per atom) = -4.663
- SG = P2/m (10)
- calculated volume (Å³/cell) = 265.9
- crystal system = monoclinic
- energy of formation (meV per atom) = 16